1.
Below is a relaxed MnSiW3 crystal, with properties calculated at the PBE level.

Cell: 4.4518 4.4518 4.4518 Å, 90.00 90.00 90.00°
Fractional coordinates of all 5 atoms:
Si (0.5000, 0.5000, 0.5000)
Mn (0.0000, 0.0000, 0.0000)
W (0.0000, 0.5000, 0.0000)
W (0.0000, 0.0000, 0.5000)
W (0.5000, 0.0000, 0.0000)

## Properties
* symmetry: Pm-3m, No. 221
* offset from the most stable computed form: 0.0 meV/atom


2.
Below is a relaxed MnSiW crystal, with properties calculated at the PBE level.

Cell: 2.7679 2.7679 6.0785 Å, 90.00 90.00 120.00°
Fractional coordinates of all 3 atoms:
Mn (0.0000, 0.0000, 0.0122)
Si (0.6667, 0.3333, 0.3130)
W (0.3333, 0.6667, 0.6748)

## Properties
* symmetry: P3m1, No. 156


3.
Below is a relaxed MnSiW2 crystal, with properties calculated at the PBE level.

Cell: 4.0849 2.7100 5.3277 Å, 73.60 90.00 90.00°
Each line ends with the local moment (μB).
Fractional coordinates of all 4 atoms:
Mn (0.5000, 0.2500, 0.2500)  1.60
Si (0.5000, 0.7500, 0.7500)  0.01
W (0.0000, 0.0109, 0.0003)  -0.09
W (0.0000, 0.4891, 0.4997)  -0.09

## Properties
* symmetry: P2/m, No. 10


4.
Below is a relaxed MnSiW2 crystal, with properties calculated at the PBE level.

Cell: 4.9029 4.9029 2.7187 Å, 81.21 81.21 114.33°
Each line ends with the local moment (μB).
Fractional coordinates of all 4 atoms:
Mn (0.5000, 0.0000, 0.5000)  2.10
Si (0.0000, 0.5000, 0.5000)  0.01
W (0.0000, 0.0000, 0.0000)  -0.07
W (0.5000, 0.5000, 0.0000)  -0.07

## Properties
* symmetry: C2/m, No. 12


Going through the records in order, we get formation energy from raw total energies values of 1.47 0.11 0.06 0.10 eV per atom.